This record from Alexandria describes a relaxed CePd5Pt2 crystal. The functional is PBE-GGA.

Properties
- ΔH_f (0 K): -0.34 eV/atom
- Offset from the most stable computed form: 0.0 kJ/mol of atoms
- DFT total energy: -5.84 eV per atom
- Size of the total moment: 0.0 μB per cell

a = 6.5019 Å, b = 6.5019 Å, c = 6.5019 Å
α = 145.88°, β = 103.61°, γ = 86.38°
Closest atoms and distances in Å follow each position.
Atoms (fractional coordinates):
Ce  0.0000  0.0000  0.0000  4 Pt 2.75
Pd  0.1729  0.3521  0.8208  3 Pt 2.65-2.75, 6 Pd 2.77-2.95
Pd  0.4688  0.6479  0.8208  3 Pt 2.65-2.75, 6 Pd 2.77-2.95
Pd  0.5000  0.0000  0.5000  2 Pt 2.75, 8 Pd 2.77
Pd  0.5312  0.3521  0.1792  3 Pt 2.65-2.75, 6 Pd 2.77-2.95
Pd  0.8271  0.6479  0.1792  3 Pt 2.65-2.75, 6 Pd 2.77-2.95
Pt  0.2096  0.7096  0.5000  7 Pd 2.65-2.75, 2 Ce 2.75
Pt  0.7904  0.2904  0.5000  7 Pd 2.65-2.75, 2 Ce 2.75